Arrangement w

3
Lattice="3.964 0.000 0.000 -1.982 3.433 0.000 0.000 0.000 4.814" Properties=species:S:1:pos:R:3 comment="PBE TbSbF, optimized geometry" spacegroup=P-6m2 total_magnetization_mub_per_fu=0.0 pbc="T T T"
Tb 0.000 0.000 0.000
Sb 1.982 1.144 2.407
F 0.000 2.288 0.000


Arrangement x

6
Lattice="6.912 0.000 0.000 0.000 4.393 0.000 -3.420 0.000 6.222" Properties=species:S:1:pos:R:3 comment="PBE TbSbF, optimized geometry" spacegroup=P2/m total_magnetization_mub_per_fu=0.0 pbc="T T T"
Tb 0.835 0.000 1.548
Tb 2.656 0.000 4.675
Sb -2.160 2.197 5.441
Sb 5.652 2.197 0.781
F 0.639 0.000 3.756
F 2.853 0.000 2.467


Arrangement y

12
Lattice="11.139 0.000 0.000 0.000 4.084 0.000 -2.632 0.000 6.158" Properties=species:S:1:pos:R:3 comment="PBE TbSbF, optimized geometry" spacegroup=C2/m total_magnetization_mub_per_fu=0.0 pbc="T T T"
Tb 1.442 0.000 1.449
Tb 1.495 2.042 4.709
Tb 7.012 2.042 1.449
Tb 7.065 0.000 4.709
Sb -1.662 2.042 5.075
Sb 4.599 0.000 1.083
Sb 3.908 0.000 5.075
Sb 10.169 2.042 1.083
F 0.871 0.000 3.683
F 2.067 2.042 2.475
F 6.441 2.042 3.683
F 7.636 0.000 2.475


Result of the stability comparison: arrangement y is the most stable of them.


Arrangement w

5
Lattice="4.396 0.000 0.000 0.000 4.396 0.000 0.000 0.000 4.396" Properties=species:S:1:pos:R:3 comment="PBE TcSbF3, optimized geometry" spacegroup=Pm-3m total_magnetization_mub_per_fu=2.4 pbc="T T T"
Tc 0.000 0.000 0.000
Sb 2.198 2.198 2.198
F 0.000 0.000 2.198
F 0.000 2.198 0.000
F 2.198 0.000 0.000


Arrangement x

5
Lattice="4.582 0.000 0.000 0.000 4.582 0.000 0.000 0.000 4.582" Properties=species:S:1:pos:R:3 comment="PBE TcSbF3, optimized geometry" spacegroup=Pm-3m total_magnetization_mub_per_fu=5.0 pbc="T T T"
Tc 0.000 0.000 0.000
Sb 2.291 2.291 2.291
F 0.000 2.291 2.291
F 2.291 0.000 2.291
F 2.291 2.291 0.000


Result of the stability comparison: arrangement w is the most stable of them.


Arrangement w

16
Lattice="6.594 0.000 0.000 0.000 6.594 0.000 0.000 0.000 6.594" Properties=species:S:1:pos:R:3 comment="PBE TcSb2F, optimized geometry" spacegroup=Fm-3m total_magnetization_mub_per_fu=1.5 pbc="T T T"
Tc 0.000 0.000 0.000
Tc 0.000 3.297 3.297
Tc 3.297 0.000 3.297
Tc 3.297 3.297 0.000
Sb 1.649 1.649 1.649
Sb 1.649 1.649 4.946
Sb 1.649 4.946 1.649
Sb 1.649 4.946 4.946
Sb 4.946 1.649 1.649
Sb 4.946 1.649 4.946
Sb 4.946 4.946 1.649
Sb 4.946 4.946 4.946
F 0.000 0.000 3.297
F 0.000 3.297 0.000
F 3.297 0.000 0.000
F 3.297 3.297 3.297


Arrangement x

16
Lattice="5.736 0.000 0.000 0.000 5.736 0.000 0.000 0.000 12.351" Properties=species:S:1:pos:R:3 comment="PBE TcSb2F, optimized geometry" spacegroup=I-42d total_magnetization_mub_per_fu=0.0 pbc="T T T"
Tc 0.000 0.000 0.000
Tc 0.000 2.868 3.088
Tc 2.868 0.000 9.263
Tc 2.868 2.868 6.175
Sb 1.397 1.434 1.544
Sb 1.434 4.265 4.631
Sb 1.434 4.339 10.807
Sb 1.471 1.434 7.719
Sb 4.265 4.302 7.719
Sb 4.302 1.397 10.807
Sb 4.302 1.471 4.631
Sb 4.339 4.302 1.544
F 0.000 0.000 6.175
F 0.000 2.868 9.263
F 2.868 0.000 3.088
F 2.868 2.868 0.000


Result of the stability comparison: arrangement w is the most stable of them.


Arrangement w

16
Lattice="6.767 0.000 0.000 0.000 6.767 0.000 0.000 0.000 5.399" Properties=species:S:1:pos:R:3 comment="PBE Tc2SbF, optimized geometry" spacegroup=I-42d total_magnetization_mub_per_fu=0.0 pbc="T T T"
Tc 1.225 1.692 0.675
Tc 1.692 4.609 2.025
Tc 1.692 5.542 4.724
Tc 2.159 1.692 3.375
Tc 4.609 5.075 3.375
Tc 5.075 1.225 4.724
Tc 5.075 2.159 2.025
Tc 5.542 5.075 0.675
Sb 0.000 0.000 2.700
Sb 0.000 3.384 4.050
Sb 3.384 0.000 1.350
Sb 3.384 3.384 0.000
F 0.000 0.000 0.000
F 0.000 3.384 1.350
F 3.384 0.000 4.050
F 3.384 3.384 2.700


Arrangement x

16
Lattice="6.309 0.000 0.000 0.000 6.309 0.000 0.000 0.000 6.309" Properties=species:S:1:pos:R:3 comment="PBE Tc2SbF, optimized geometry" spacegroup=Fm-3m total_magnetization_mub_per_fu=3.3 pbc="T T T"
Tc 1.577 1.577 1.577
Tc 1.577 1.577 4.732
Tc 1.577 4.732 1.577
Tc 1.577 4.732 4.732
Tc 4.732 1.577 1.577
Tc 4.732 1.577 4.732
Tc 4.732 4.732 1.577
Tc 4.732 4.732 4.732
Sb 0.000 0.000 0.000
Sb 0.000 3.154 3.154
Sb 3.154 0.000 3.154
Sb 3.154 3.154 0.000
F 0.000 0.000 3.154
F 0.000 3.154 0.000
F 3.154 0.000 0.000
F 3.154 3.154 3.154


Result of the stability comparison: arrangement x is the most stable of them.


Arrangement w

5
Lattice="5.314 0.000 0.000 0.000 5.314 0.000 0.000 0.000 4.390" Properties=species:S:1:pos:R:3 comment="PBE TcSbTe2F, optimized geometry" spacegroup=P4/mmm total_magnetization_mub_per_fu=4.2 pbc="T T T"
Tc 0.000 0.000 0.000
Sb 2.657 2.657 0.000
Te 0.000 2.657 2.195
Te 2.657 0.000 2.195
F 2.657 2.657 2.195


Arrangement x

5
Lattice="5.166 0.000 0.000 0.000 5.166 0.000 0.000 0.000 5.213" Properties=species:S:1:pos:R:3 comment="PBE TcSbTe2F, optimized geometry" spacegroup=P4/mmm total_magnetization_mub_per_fu=0.0 pbc="T T T"
Tc 0.000 0.000 0.000
Sb 0.000 0.000 2.606
Te 0.000 2.583 0.000
Te 2.583 0.000 0.000
F 2.583 2.583 2.606


Result of the stability comparison: arrangement x is the most stable of them.


Arrangement w

5
Lattice="4.653 0.000 0.000 0.000 4.653 0.000 0.000 0.000 5.322" Properties=species:S:1:pos:R:3 comment="PBE TcSb2TeF, optimized geometry" spacegroup=P4/mmm total_magnetization_mub_per_fu=2.5 pbc="T T T"
Tc 0.000 0.000 0.000
Sb 0.000 2.326 2.661
Sb 2.326 0.000 2.661
Te 2.326 2.326 0.000
F 2.326 2.326 2.661


Arrangement x

5
Lattice="5.161 0.000 0.000 0.000 5.161 0.000 0.000 0.000 5.166" Properties=species:S:1:pos:R:3 comment="PBE TcSb2TeF, optimized geometry" spacegroup=P4/mmm total_magnetization_mub_per_fu=0.0 pbc="T T T"
Tc 0.000 0.000 0.000
Sb 0.000 2.580 0.000
Sb 2.580 0.000 0.000
Te 0.000 0.000 2.583
F 2.580 2.580 2.583


Result of the stability comparison: arrangement x is the most stable of them.